No. 1
First-principles (PBE) data for a relaxed structure of Ni2AgOs, as listed in Alexandria via LeMat-Bulk. Values from VASP.

## Properties
Its energy of formation is 0.19 eV per atom.

Quantum ESPRESSO input file:
```
&SYSTEM
  ibrav = 0, nat = 4, ntyp = 3
/
ATOMIC_SPECIES
Ni 58.69 Ni.upf
Ag 107.87 Ag.upf
Os 190.23 Os.upf
CELL_PARAMETERS angstrom
2.6933 0.0000 0.0000
0.0000 2.6933 0.0000
0.0000 0.0000 7.4375
ATOMIC_POSITIONS crystal
Ni 0.0000 0.0000 0.0213
Ni 0.0000 0.0000 0.4787
Ag 0.5000 0.5000 0.7500
Os 0.5000 0.5000 0.2500
```


No. 2
First-principles (PBE) data for a relaxed structure of MgScOs2, as listed in Alexandria via LeMat-Bulk. Values from VASP.

## Properties
Its energy of formation is 0.15 eV per atom.

Quantum ESPRESSO input file:
```
&SYSTEM
  ibrav = 0, nat = 4, ntyp = 3
/
ATOMIC_SPECIES
Mg 24.30 Mg.upf
Os 190.23 Os.upf
Sc 44.96 Sc.upf
CELL_PARAMETERS angstrom
4.8426 -0.0211 0.0000
-1.7528 4.5142 0.0000
0.0000 0.0000 2.9861
ATOMIC_POSITIONS crystal
Mg 0.0000 0.5000 0.5000
Os 0.5000 0.5000 0.0000
Os 0.0000 0.0000 0.0000
Sc 0.5000 0.0000 0.5000
```


No. 3
First-principles (PBE) data for a relaxed structure of LiHoSn2, as listed in Alexandria via LeMat-Bulk. Values from VASP.

## Properties
Its energy of formation is -0.31 eV per atom.

Quantum ESPRESSO input file:
```
&SYSTEM
  ibrav = 0, nat = 4, ntyp = 3
/
ATOMIC_SPECIES
Sn 118.71 Sn.upf
Ho 164.93 Ho.upf
Li 6.94 Li.upf
CELL_PARAMETERS angstrom
-2.2189 2.4887 -0.8306
-3.1913 -0.8032 -0.9888
-4.8003 0.9994 8.7103
ATOMIC_POSITIONS crystal
Sn 0.2554 0.2554 0.2337
Sn 0.7446 0.7446 0.7663
Ho 0.5000 0.5000 0.5000
Li 0.0000 0.0000 0.0000
```


No. 4
First-principles (PBE) data for a relaxed structure of Mg2HgSe, as listed in Alexandria via LeMat-Bulk. Values from VASP.

## Properties
The uncorrected formation energy comes out at -1.89 eV/f.u.

Quantum ESPRESSO input file:
```
&SYSTEM
  ibrav = 0, nat = 4, ntyp = 3
/
ATOMIC_SPECIES
Mg 24.30 Mg.upf
Se 78.96 Se.upf
Hg 200.59 Hg.upf
CELL_PARAMETERS angstrom
3.7471 0.0000 0.0000
0.0000 3.9207 -0.2808
0.0000 1.6995 6.3410
ATOMIC_POSITIONS crystal
Mg 0.0000 0.3461 0.5159
Mg 0.0000 0.1539 0.9841
Se 0.5000 0.2500 0.2500
Hg 0.5000 0.7500 0.7500
```


Number 1: calculated total energy -24.874 eV for the cell shown. Number 2: calculated total energy -29.768 eV for the cell shown. Number 3: calculated total energy -15.740 eV for the cell shown. Number 4: calculated total energy -8.864 eV for the cell shown.